Below is a relaxed Tl2InAu2 crystal, with properties calculated at the PBE level.

Geometry as POSCAR:
```
Tl2InAu2
1.0
8.542 0.000 0.000
0.000 8.542 0.000
0.000 0.000 3.499
Tl In Au
4 2 4
direct
0.144 0.356 0.000
0.356 0.856 0.000
0.644 0.144 0.000
0.856 0.644 0.000
0.000 0.000 0.000
0.500 0.500 0.000
0.152 0.652 0.500
0.348 0.152 0.500
0.652 0.848 0.500
0.848 0.348 0.500
```

Calculated values
Space group: P4/mbm (127)
E above lowest polymorph: 168.4 meV per atom
ΔH_f (0 K): 91 meV/atom
Magnetization: 0.000 μB/atom

---

Below is a relaxed Tl3InAu crystal, with properties calculated at the PBE level.

Geometry as POSCAR:
```
Tl3InAu
1.0
5.549 0.000 0.000
0.000 5.549 0.000
0.000 0.000 5.549
Tl In Au
3 1 1
direct
0.000 0.000 0.500
0.000 0.500 0.000
0.500 0.000 0.000
0.500 0.500 0.500
0.000 0.000 0.000
```

Calculated values
Space group: Pm-3m (221)
E above lowest polymorph: 177.8 meV per atom
ΔH_f (0 K): 189 meV/atom
Magnetization: 0.000 μB/atom

---

Below is a relaxed TlIn2Au crystal, with properties calculated at the PBE level.

Geometry as POSCAR:
```
TlIn2Au
1.0
5.128 -1.900 0.000
5.128 1.900 0.000
-3.050 0.000 5.448
Tl In Au
1 2 1
direct
0.000 0.000 0.000
0.194 0.194 0.751
0.399 0.399 0.359
0.712 0.712 0.426
```

Calculated values
Space group: Cm (8)
E above lowest polymorph: 78.6 meV per atom
ΔH_f (0 K): -44 meV/atom
Magnetization: 0.000 μB/atom

---

Below is a relaxed TlIn2Au crystal, with properties calculated at the PBE level.

Geometry as POSCAR:
```
TlIn2Au
1.0
3.365 0.000 0.000
0.000 3.365 0.000
0.000 0.000 9.037
Tl In Au
1 2 1
direct
0.000 0.000 0.000
0.000 0.000 0.428
0.500 0.500 0.696
0.500 0.500 0.236
```

Calculated values
Space group: P4mm (99)
E above lowest polymorph: 93.4 meV per atom
ΔH_f (0 K): -29 meV/atom
Magnetization: 0.000 μB/atom

---

Below is a relaxed TlIn2Au crystal, with properties calculated at the PBE level.

Geometry as POSCAR:
```
TlIn2Au
1.0
4.416 0.000 0.000
0.000 8.255 0.000
-2.060 0.000 5.590
Tl In Au
2 4 2
direct
0.065 0.250 0.129
0.935 0.750 0.871
0.358 0.046 0.723
0.358 0.454 0.723
0.642 0.546 0.277
0.642 0.954 0.277
0.218 0.750 0.433
0.782 0.250 0.567
```

Calculated values
Space group: P2_1/m (11)
E above lowest polymorph: 0.0 meV per atom
ΔH_f (0 K): -123 meV/atom
Magnetization: 0.000 μB/atom

---

Below is a relaxed Tl3InAu crystal, with properties calculated at the PBE level.

Geometry as POSCAR:
```
Tl3InAu
1.0
5.674 0.000 0.000
2.837 4.917 0.000
1.021 0.547 10.036
Tl In Au
6 2 2
direct
0.030 0.028 0.323
0.267 0.268 0.885
0.369 0.366 0.250
0.631 0.634 0.750
0.733 0.732 0.115
0.970 0.972 0.677
0.321 0.322 0.566
0.679 0.678 0.434
0.245 0.756 0.001
0.755 0.244 0.999
```

Calculated values
Space group: P-1 (2)
E above lowest polymorph: 0.0 meV per atom
ΔH_f (0 K): 11 meV/atom
Magnetization: 0.000 μB/atom

---

Below is a relaxed TlInAu2 crystal, with properties calculated at the PBE level.

Geometry as POSCAR:
```
TlInAu2
1.0
3.558 -3.618 0.000
3.558 3.618 0.000
-0.255 0.000 3.544
Tl In Au
1 1 2
direct
0.000 0.000 0.000
0.500 0.500 0.000
0.000 0.500 0.500
0.500 0.000 0.500
```

Calculated values
Space group: C2/m (12)
ΔH_f (0 K): -14 meV/atom
Magnetization: 0.000 μB/atom

---

Below is a relaxed Tl3InAu3 crystal, with properties calculated at the PBE level.

Geometry as POSCAR:
```
Tl3InAu3
1.0
3.833 -6.797 0.000
3.833 6.797 0.000
-1.862 0.000 7.150
Tl In Au
6 2 6
direct
0.197 0.803 0.000
0.274 0.726 0.500
0.382 0.382 0.153
0.618 0.618 0.847
0.726 0.274 0.500
0.803 0.197 0.000
0.225 0.225 0.516
0.775 0.775 0.484
0.038 0.038 0.819
0.122 0.438 0.769
0.438 0.122 0.769
0.562 0.878 0.231
0.878 0.562 0.231
0.962 0.962 0.181
```

Calculated values
Space group: C2/m (12)
E above lowest polymorph: 0.0 meV per atom
ΔH_f (0 K): -38 meV/atom
Magnetization: 0.000 μB/atom